First-principles (PBE-GGA) data for crystalline SrAlPd at its relaxed geometry, as listed in OQMD.

Properties
The value obtained for the total energy is -3.843 eV per atom.

Unit cell a=4.788 b=4.788 c=4.788 alpha=60.00 beta=60.00 gamma=60.00
Element x y z (fractional)
Al (0.250, 0.250, 0.250)
Pd (0.000, 0.000, 0.000)
Sr (0.750, 0.750, 0.750)

---

First-principles (PBE-GGA) data for crystalline Sc2Ge2Ir at its relaxed geometry, as listed in OQMD.

Properties
The size of the total moment comes out at 0.01 Bohr magnetons per cell. The value obtained for the total energy is -7.045 eV per atom.

Unit cell a=6.497 b=6.497 c=4.157 alpha=90.00 beta=90.00 gamma=90.00
Element x y z (fractional)
Ge (0.637, 0.137, 0.000)
Ge (0.137, 0.363, 0.000)
Ge (0.863, 0.637, 0.000)
Ge (0.363, 0.863, 0.000)
Ir (0.000, 0.000, 0.000)
Ir (0.500, 0.500, 0.000)
Sc (0.328, 0.172, 0.500)
Sc (0.828, 0.328, 0.500)
Sc (0.172, 0.672, 0.500)
Sc (0.672, 0.828, 0.500)

---

First-principles (PBE-GGA) data for crystalline Nb2GeO4 at its relaxed geometry, as listed in OQMD.

Properties
The size of the total moment comes out at 0.00 Bohr magnetons per cell. The value obtained for the total energy is -7.966 eV per atom.

Unit cell a=6.310 b=6.310 c=6.310 alpha=120.00 beta=90.00 gamma=120.00
Element x y z (fractional)
Ge (0.000, 0.000, 0.000)
Ge (0.750, 0.500, 0.250)
Nb (0.375, 0.750, 0.125)
Nb (0.875, 0.250, 0.625)
Nb (0.375, 0.750, 0.625)
Nb (0.375, 0.250, 0.625)
O (0.142, 0.762, 0.381)
O (0.619, 0.238, 0.381)
O (0.619, 0.762, 0.381)
O (0.131, 0.262, 0.392)
O (0.619, 0.238, 0.858)
O (0.131, 0.738, 0.869)
O (0.131, 0.262, 0.869)
O (0.608, 0.738, 0.869)

---

First-principles (PBE-GGA) data for crystalline DyHoTa2Ge2 at its relaxed geometry, as listed in OQMD.

Properties
The size of the total moment comes out at 1.06 Bohr magnetons per cell. The value obtained for the total energy is -7.615 eV per atom.

Unit cell a=4.019 b=4.019 c=7.833 alpha=90.00 beta=90.00 gamma=90.00
Last column: magnetic moment on the atom in μB.
Element x y z (fractional)
Dy (0.000, 0.000, 0.351)  0.31
Ge (0.500, 0.500, 0.246)  -0.01
Ge (0.000, 0.000, 0.754)  -0.01
Ho (0.500, 0.500, 0.649)  0.32
Ta (0.500, 0.000, 0.000)  0.04
Ta (0.000, 0.500, 0.000)  0.04

---

First-principles (PBE-GGA) data for crystalline HfAlRe at its relaxed geometry, as listed in OQMD.

Properties
The calculation puts the offset from the most stable computed form at 1259 meV per atom. The size of the total moment comes out at 0.01 Bohr magnetons per cell. The value obtained for the total energy is -7.909 eV per atom.

Unit cell a=4.458 b=4.458 c=4.458 alpha=60.00 beta=60.00 gamma=60.00
Element x y z (fractional)
Al (0.250, 0.250, 0.250)
Hf (0.000, 0.000, 0.000)
Re (0.750, 0.750, 0.750)

---

First-principles (PBE-GGA) data for crystalline AlSiPt at its relaxed geometry, as listed in OQMD.

Properties
The size of the total moment comes out at 0.00 Bohr magnetons per cell. The value obtained for the total energy is -5.448 eV per atom.

Unit cell a=4.105 b=4.105 c=4.105 alpha=60.00 beta=60.00 gamma=60.00
Element x y z (fractional)
Al (0.250, 0.250, 0.250)
Pt (0.750, 0.750, 0.750)
Si (0.000, 0.000, 0.000)

---

First-principles (PBE-GGA) data for crystalline InCoSn2 at its relaxed geometry, as listed in OQMD.

Properties
The size of the total moment comes out at 0.46 Bohr magnetons per cell. The value obtained for the total energy is -3.999 eV per atom.

Unit cell a=4.953 b=4.953 c=4.953 alpha=60.00 beta=60.00 gamma=60.00
Element x y z (fractional)
Co (0.250, 0.250, 0.250)
In (0.500, 0.500, 0.500)
Sn (0.000, 0.000, 0.000)
Sn (0.750, 0.750, 0.750)

---

First-principles (PBE-GGA) data for crystalline MgUTa at its relaxed geometry, as listed in OQMD.

Properties
The calculation puts the offset from the most stable computed form at 208 meV per atom. The size of the total moment comes out at 1.73 Bohr magnetons per cell. The value obtained for the total energy is -6.583 eV per atom.

Unit cell a=4.704 b=4.704 c=4.704 alpha=60.00 beta=60.00 gamma=60.00
Element x y z (fractional)
Mg (0.250, 0.250, 0.250)
Ta (0.750, 0.750, 0.750)
U (0.000, 0.000, 0.000)

---

What did the seventh record say?
First-principles (PBE-GGA) data for crystalline InCoSn2 at its relaxed geometry, as listed in OQMD.

Properties
The size of the total moment comes out at 0.46 Bohr magnetons per cell. The value obtained for the total energy is -3.999 eV per atom.

Unit cell a=4.953 b=4.953 c=4.953 alpha=60.00 beta=60.00 gamma=60.00
Element x y z (fractional)
Co (0.250, 0.250, 0.250)
In (0.500, 0.500, 0.500)
Sn (0.000, 0.000, 0.000)
Sn (0.750, 0.750, 0.750)